No. 1
Density functional theory data (meta-GGA SCAN) for NaNbI2N at its PBEsol-relaxed geometry.

E_form (uncorrected) in eV per atom: -0.48

abc: 5.740 5.740 3.952
angles: 90.00 90.00 90.00
Fractional positions:
Na1 0.000 0.000 0.000
Nb1 0.500 0.500 0.500
I1 0.000 0.500 0.500
I2 0.500 0.000 0.500
N1 0.500 0.500 0.000

No. 2
Density functional theory data (meta-GGA SCAN) for HgH2N at its PBEsol-relaxed geometry.

Final energy in eV per cell: -163.56

abc: 4.582 4.582 4.582
angles: 60.00 60.00 60.00
Fractional positions:
Hg1 0.125 0.125 0.125
Hg2 0.875 0.875 0.875
H1 0.000 0.500 0.500
H2 0.500 0.000 0.500
H3 0.500 0.500 0.000
H4 0.500 0.500 0.500
N1 0.375 0.375 0.375
N2 0.625 0.625 0.625